## Np2H2Rh5 (PBE)

Data for a geometry-optimized Np2H2Rh5 structure.

Lattice parameters (Å, degrees): 16.013 5.636 5.759 90.00 90.00 90.00
Space group Ima2 (No. 46)
One atom of each set of equivalent atoms:
Np: 0.130 0.023 0.000 [8 per cell]
H: 0.000 0.000 0.499 [4 per cell]
H: 0.250 0.511 0.999 [4 per cell]
Rh: 0.003 0.750 0.250 [8 per cell]
Rh: 0.129 0.007 0.500 [8 per cell]
Rh: 0.250 0.749 0.251 [4 per cell]

Calculated values
Volume = 520 Å³/cell
Total energy = -7.9748 eV/atom